The following is a DFT calculation (PBE) of Cs2LiZnGa after structural relaxation.

Cell lengths 7.521, 4.706, 7.521 Å; angles 90.00, 90.00, 90.00 degrees
Sites, in units of the cell vectors:
Zn (0.000, 0.500, 0.000)
Li (0.500, 0.500, 0.500)
Ga (0.000, 0.000, 0.000)
Cs (0.000, 0.000, 0.500)
Cs (0.500, 0.000, 0.000)

Summary:
DFT formation energy   0.2471 eV/atom
SG   No. 123
DOS(E_F)   0.873 states/eV/atom

***

The following is a DFT calculation (PBE) of Cs2MgGa after structural relaxation.

Cell lengths 10.443, 10.443, 10.443 Å; angles 93.62, 93.62, 150.90 degrees
Sites, in units of the cell vectors:
Mg (0.750, 0.250, 0.500)
Mg (0.500, 0.500, 0.000)
Ga (0.250, 0.750, 0.500)
Ga (0.000, 0.000, 0.000)
Cs (0.125, 0.807, 0.182)
Cs (0.057, 0.875, 0.682)
Cs (0.625, 0.943, 0.818)
Cs (0.193, 0.375, 0.318)

Summary:
DFT formation energy   0.1708 eV/atom
SG   No. 122
DOS(E_F)   0.995 states/eV/atom

***

The following is a DFT calculation (PBE) of CsMg14Ga after structural relaxation.

Cell lengths 6.596, 6.596, 10.651 Å; angles 90.00, 90.00, 120.00 degrees
Sites, in units of the cell vectors:
Ga (0.000, 0.000, 0.500)
Mg (0.495, 0.505, 0.000)
Mg (0.171, 0.829, 0.724)
Mg (0.667, 0.333, 0.756)
Mg (0.495, 0.990, 0.000)
Mg (0.507, 0.015, 0.500)
Mg (0.171, 0.341, 0.276)
Mg (0.171, 0.341, 0.724)
Mg (0.659, 0.829, 0.276)
Mg (0.171, 0.829, 0.276)
Mg (0.659, 0.829, 0.724)
Mg (0.985, 0.493, 0.500)
Mg (0.507, 0.493, 0.500)
Mg (0.667, 0.333, 0.244)
Mg (0.010, 0.505, 0.000)
Cs (0.000, 0.000, 0.000)

Summary:
DFT formation energy   0.1652 eV/atom
SG   No. 187
DOS(E_F)   0.774 states/eV/atom